(1)
{"formula": "Nb2V2Pd7", "functional": "GGA-PBE", "state": "relaxed", "lattice": [[4.5979, -4.4920, 0.0000], [4.5979, 4.4920, 0.0000], [-2.3582, 0.0000, 4.2622]], "species": ["Nb", "Nb", "V", "V", "Pd", "Pd", "Pd", "Pd", "Pd", "Pd", "Pd"], "fractional_positions": [[0.1770, 0.8230, 0.0000], [0.8230, 0.1770, 0.0000], [0.2746, 0.2746, 0.0511], [0.7254, 0.7254, 0.9489], [0.0000, 0.0000, 0.5000], [0.0710, 0.5789, 0.3199], [0.3956, 0.3956, 0.6732], [0.4211, 0.9290, 0.6801], [0.5789, 0.0710, 0.3199], [0.6044, 0.6044, 0.3268], [0.9290, 0.4211, 0.6801]], "ef_mev_per_atom": -148, "sg": "No. 12", "total_magnetization_mub_per_cell": 1.970, "mass_density_g_cm3": 9.7, "total_energy_ev_per_atom": -6.94}

***

(2)
{"formula": "LiTaRh2O6", "functional": "GGA-PBE", "state": "relaxed", "lattice": [[2.5653, 1.4811, 4.8212], [-2.5653, 1.4811, 4.8212], [0.0000, -2.9621, 4.8212]], "species": ["Li", "Ta", "Rh", "Rh", "O", "O", "O", "O", "O", "O"], "fractional_positions": [[0.0000, 0.0000, 0.0000], [0.4884, 0.4884, 0.4884], [0.2955, 0.2955, 0.2955], [0.7949, 0.7949, 0.7949], [0.0915, 0.6921, 0.3886], [0.2089, 0.5583, 0.8845], [0.3886, 0.0915, 0.6921], [0.5583, 0.8845, 0.2089], [0.6921, 0.3886, 0.0915], [0.8845, 0.2089, 0.5583]], "sg": "No. 146", "total_magnetization_mub_per_cell": 0.000, "mass_density_g_cm3": 7.4, "raw_formation_energy_ev_per_atom": -1.625, "total_energy_ev_per_atom": -7.45}

***

(3)
{"formula": "Pr6Te5Pd", "functional": "GGA-PBE", "state": "relaxed", "lattice": [[3.9050, -6.7394, 0.0000], [3.9050, 6.7394, 0.0000], [-2.6197, 0.0000, 7.3319]], "species": ["Pr", "Pr", "Pr", "Pr", "Pr", "Pr", "Te", "Te", "Te", "Te", "Te", "Pd"], "fractional_positions": [[0.0760, 0.3922, 0.2344], [0.2345, 0.2345, 0.7529], [0.3922, 0.0760, 0.2344], [0.6078, 0.9240, 0.7656], [0.7655, 0.7655, 0.2471], [0.9240, 0.6078, 0.7656], [0.1769, 0.8231, 0.5000], [0.3361, 0.6639, 0.0000], [0.5000, 0.5000, 0.5000], [0.6639, 0.3361, 0.0000], [0.8231, 0.1769, 0.5000], [0.0000, 0.0000, 0.0000]], "sg": "No. 12", "total_magnetization_mub_per_cell": 0.000, "mass_density_g_cm3": 6.8, "raw_formation_energy_ev_per_atom": -1.332, "total_energy_ev_per_atom": -5.46}

***

(4)
{"formula": "KCa2Y", "functional": "GGA-PBE", "state": "relaxed", "lattice": [[4.0998, 0.0000, 0.0000], [0.0000, 6.1952, 0.0000], [0.0000, 0.0000, 13.3490]], "species": ["K", "K", "Ca", "Ca", "Ca", "Ca", "Y", "Y"], "fractional_positions": [[0.0000, 0.0000, 0.0000], [0.5000, 0.5000, 0.0000], [0.0000, 0.0000, 0.4837], [0.0000, 0.5000, 0.7229], [0.5000, 0.0000, 0.7229], [0.5000, 0.5000, 0.4837], [0.0000, 0.5000, 0.2640], [0.5000, 0.0000, 0.2640]], "ef_mev_per_atom": 219, "sg": "No. 35", "e_above_lowest_polymorph_kj_per_mol_atoms": 6.3, "total_magnetization_mub_per_cell": 0.001, "mass_density_g_cm3": 2.0, "total_energy_ev_per_atom": -2.67}

***

(5)
{"formula": "LiZrBr2", "functional": "GGA-PBE", "state": "relaxed", "lattice": [[3.4957, 0.0000, 0.0000], [0.0000, 4.2046, 0.0000], [0.0000, 0.0000, 6.5980]], "species": ["Li", "Zr", "Br", "Br"], "fractional_positions": [[0.0000, 0.0000, 0.0000], [0.5000, 0.0000, 0.5000], [0.0000, 0.5000, 0.5000], [0.5000, 0.5000, 0.0000]], "sg": "No. 47", "e_above_lowest_polymorph_kj_per_mol_atoms": 35.6, "total_magnetization_mub_per_cell": 1.364, "mass_density_g_cm3": 4.4, "raw_formation_energy_ev_per_atom": -0.467, "total_energy_ev_per_atom": -3.92}

***

(6)
{"formula": "Cu2Ni4Ir", "functional": "GGA-PBE", "state": "relaxed", "lattice": [[-3.5531, 3.5531, 3.5305], [3.5531, -3.5531, 3.5305], [3.5531, 3.5531, -3.5305]], "species": ["Cu", "Cu", "Cu", "Cu", "Ni", "Ni", "Ni", "Ni", "Ni", "Ni", "Ni", "Ni", "Ir", "Ir"], "fractional_positions": [[0.3750, 0.0009, 0.1259], [0.7509, 0.6250, 0.6259], [0.8750, 0.2491, 0.8741], [0.9991, 0.1250, 0.3741], [0.1235, 0.0432, 0.7483], [0.1253, 0.5449, 0.7517], [0.2949, 0.3753, 0.2517], [0.4551, 0.2068, 0.5804], [0.6247, 0.8765, 0.9196], [0.6265, 0.8747, 0.4196], [0.7932, 0.3735, 0.2483], [0.9568, 0.7051, 0.0804], [0.2500, 0.7500, 0.5000], [0.5000, 0.5000, 0.0000]], "ef_mev_per_atom": 366, "sg": "No. 122", "total_magnetization_mub_per_cell": 5.914, "mass_density_g_cm3": 10.3, "total_energy_ev_per_atom": -5.37}